RePAuCl2 | PBE-GGA | optimized geometry

The structure in POSCAR format:
```
RePAuCl2
1.0
-4.142 0.386 -2.397
2.229 -1.279 -4.056
-0.941 -4.504 0.902
Re Au P Cl
1 1 1 2
direct
0.000 0.000 0.000
0.500 0.500 0.500
0.000 0.000 0.500
0.000 0.500 0.000
0.500 0.000 0.000
```

Computed properties:
Formation energy from raw total energies: 2.9 eV per formula unit
ΔE to the lowest computed polymorph: 0.00 eV/f.u.

=====

RePAuCl2 | PBE-GGA | optimized geometry

The structure in POSCAR format:
```
RePAuCl2
1.0
4.829 0.000 0.000
0.000 4.829 0.000
0.000 0.000 5.202
Re Au P Cl
1 1 1 2
direct
0.500 0.500 0.500
0.000 0.000 0.000
0.000 0.000 0.500
0.000 0.500 0.000
0.500 0.000 0.000
```

Computed properties:
Formation energy from raw total energies: 6.9 eV per formula unit
ΔE to the lowest computed polymorph: 3.92 eV/f.u.

=====

PAuS2Cl | PBE-GGA | optimized geometry

The structure in POSCAR format:
```
PAuS2Cl
1.0
-1.671 -4.214 -0.339
3.075 -0.962 -3.207
3.105 -1.507 3.429
P S Au Cl
1 2 1 1
direct
0.000 0.000 0.500
0.000 0.500 0.000
0.500 0.000 0.000
0.500 0.500 0.500
0.000 0.000 0.000
```

Computed properties:
Formation energy from raw total energies: 7.1 eV per formula unit
ΔE to the lowest computed polymorph: 4.26 eV/f.u.

=====

PAuSCl2 | PBE-GGA | optimized geometry

The structure in POSCAR format:
```
PAuSCl2
1.0
4.869 0.000 0.000
0.000 4.869 0.000
0.000 0.000 5.100
P S Au Cl
1 1 1 2
direct
0.500 0.500 0.500
0.000 0.000 0.500
0.000 0.000 0.000
0.000 0.500 0.000
0.500 0.000 0.000
```

Computed properties:
Formation energy from raw total energies: 3.7 eV per formula unit
ΔE to the lowest computed polymorph: 1.82 eV/f.u.